Entry from the Alexandria database: a geometry-optimized V4Cr2O13 structure (GGA+U).

DOS(E_F)   0.00 states/eV/cell

Cell: 8.509 9.515 14.917 Å, 90.00 103.41 90.00°
Each line ends with the local moment (μB).
Atoms (fractional coordinates):
V 0.957 0.208 0.908  0.11
O 0.847 0.383 0.469  -0.03
O 0.337 0.383 0.956  -0.04
O 0.152 0.885 0.392  -0.03
O 0.669 0.611 0.397  -0.03
O 0.768 0.615 0.878  -0.04
O 0.490 0.385 0.454  -0.04
O 0.988 0.384 0.953  -0.04
Cr 0.187 0.501 0.007  2.90
O 0.232 0.385 0.122  -0.04
Cr 0.311 0.001 0.987  2.90
O 0.847 0.117 0.969  -0.03
O 0.152 0.615 0.892  -0.03
Cr 0.689 0.501 0.513  2.90
O 0.768 0.885 0.378  -0.04
O 0.353 0.633 0.072  -0.04
O 0.510 0.885 0.046  -0.04
Cr 0.187 0.999 0.507  2.90
O 0.490 0.115 0.954  -0.04
O 0.337 0.117 0.456  -0.04
V 0.135 0.738 0.327  0.07
O 0.848 0.385 0.108  -0.03
V 0.259 0.224 0.171  0.08
O 0.331 0.111 0.103  -0.03
V 0.957 0.292 0.408  0.11
O 0.647 0.367 0.928  -0.04
O 0.012 0.616 0.047  -0.04
O 0.647 0.133 0.428  -0.04
O 0.663 0.883 0.544  -0.04
O 0.859 0.868 0.080  -0.04
O 0.275 0.884 0.873  -0.03
O 0.153 0.883 0.031  -0.03
O 0.663 0.617 0.044  -0.04
V 0.043 0.792 0.092  0.11
O 0.141 0.132 0.920  -0.04
O 0.859 0.632 0.580  -0.04
O 0.988 0.116 0.453  -0.04
O 0.149 0.716 0.712  0.00
Cr 0.311 0.499 0.487  2.90
O 0.851 0.216 0.788  0.00
Cr 0.689 0.999 0.013  2.90
V 0.463 0.289 0.907  0.12
O 0.938 0.664 0.320  0.00
O 0.388 0.273 0.784  0.00
Cr 0.813 0.001 0.493  2.90
V 0.741 0.776 0.829  0.08
O 0.275 0.616 0.373  -0.03
V 0.259 0.276 0.671  0.08
V 0.865 0.238 0.173  0.07
V 0.135 0.762 0.827  0.07
O 0.062 0.164 0.180  0.00
O 0.848 0.115 0.608  -0.03
O 0.388 0.227 0.284  0.00
Cr 0.813 0.499 0.993  2.90
O 0.153 0.617 0.531  -0.03
O 0.612 0.773 0.716  0.00
O 0.510 0.615 0.546  -0.04
O 0.232 0.115 0.622  -0.04
O 0.353 0.867 0.572  -0.04
V 0.537 0.711 0.093  0.12
V 0.043 0.708 0.592  0.11
V 0.741 0.724 0.329  0.08
O 0.141 0.368 0.420  -0.04
O 0.938 0.836 0.820  0.00
O 0.725 0.384 0.627  -0.03
O 0.669 0.889 0.897  -0.03
O 0.062 0.336 0.680  0.00
O 0.851 0.284 0.288  0.00
V 0.463 0.211 0.407  0.12
O 0.012 0.884 0.547  -0.04
O 0.725 0.116 0.127  -0.03
O 0.149 0.784 0.212  0.00
V 0.537 0.789 0.593  0.12
V 0.865 0.262 0.673  0.07
O 0.331 0.389 0.603  -0.03
O 0.612 0.727 0.216  0.00

=====

Entry from the Alexandria database: a geometry-optimized VCrO3 structure (GGA+U).

Cell: 5.589 5.089 8.846 Å, 76.84 93.80 119.06°
Each line ends with the local moment (μB).
Atoms (fractional coordinates):
V 0.833 0.653 0.519  1.94
O 0.906 0.452 0.351  -0.04
O 0.988 0.237 0.050  -0.05
V 0.023 0.163 0.831  1.93
O 0.387 0.963 0.140  -0.06
O 0.414 0.465 0.852  -0.08
Cr 0.668 0.341 0.988  3.06
O 0.613 0.037 0.860  -0.06
Cr 0.332 0.659 0.012  3.06
O 0.495 0.239 0.545  -0.07
O 0.898 0.974 0.643  -0.05
Cr 0.506 0.146 0.332  3.04
O 0.102 0.026 0.357  -0.05
O 0.586 0.535 0.148  -0.08
Cr 0.494 0.854 0.668  3.04
V 0.977 0.837 0.169  1.93
O 0.505 0.761 0.455  -0.07
V 0.167 0.347 0.481  1.94
O 0.094 0.548 0.649  -0.04
O 0.012 0.763 0.950  -0.05

=====

Entry from the Alexandria database: a geometry-optimized VCrO3 structure (GGA+U).

Cell: 5.116 5.500 7.522 Å, 84.28 90.02 89.92°
Each line ends with the local moment (μB).
Atoms (fractional coordinates):
V 0.501 0.797 0.647  1.93
O 0.347 0.850 0.400  -0.07
O 0.697 0.501 0.251  -0.06
O 0.849 0.649 0.597  -0.06
O 0.801 0.998 0.251  -0.07
Cr 0.000 0.698 0.349  3.06
Cr 0.000 0.302 0.650  3.06
O 0.649 0.848 0.903  -0.05
O 0.351 0.152 0.101  -0.05
O 0.302 0.498 0.749  -0.04
V 0.500 0.203 0.851  1.94
O 0.152 0.350 0.402  -0.06
O 0.653 0.151 0.598  -0.05
O 0.851 0.347 0.900  -0.04
O 0.196 0.000 0.749  -0.05
O 0.152 0.654 0.100  -0.05
Cr 0.501 0.200 0.351  3.05
V 0.000 0.703 0.851  1.92
V 0.000 0.299 0.150  1.93
Cr 0.499 0.803 0.152  3.06

=====

Computed energy (eV/atom) in order:
-7.640; -7.867; -7.978
Computed volume (Å³ per cell) in order:
1175; 214; 211